DFT (PBE with a Hubbard U) results for a geometry-optimized Mn2AlGaO6 structure.

Properties
Space group ... P1 (1)
Crystal system ... triclinic
Size of the total moment ... 0.400 μB per atom
Raw total energy ... -68.89 eV per formula unit

Lattice parameters (Å, degrees): 4.950 4.957 5.328 62.32 62.34 60.39
Fractional coordinates of all 10 atoms:
1 Mn 0.000 0.000 0.000
2 Mn 0.495 0.498 0.509
3 Al 0.697 0.699 0.904
4 Ga 0.203 0.202 0.389
5 O 0.083 0.410 0.717
6 O 0.299 0.897 0.203
7 O 0.410 0.789 0.714
8 O 0.595 0.302 0.205
9 O 0.792 0.082 0.715
10 O 0.894 0.596 0.208